(1)
Crystalline ZrCoPb2 at its relaxed geometry, computed with GGA-PBE.

The structure belongs to space group F-43m (No. 216); the cell edges are 7.068, 7.068 and 7.068 Å and the angles 90.00°, 90.00° and 90.00°. The distinct sites, in fractional coordinates, are Zr at (0.000, 0.000, 0.000), Co at (0.250, 0.250, 0.250), Pb at (0.000, 0.000, 0.500) and Pb at (0.250, 0.250, 0.750).

The value obtained for the energy is -85.30 eV for the cell shown. The magnetic moment comes out at 1.0 μB per formula unit.

***

(2)
Crystalline Zr5CoPb3 at its relaxed geometry, computed with GGA-PBE.

The structure belongs to space group P6_3/mcm (No. 193); the cell edges are 8.8180, 8.8180 and 5.8964 Å and the angles 90.00°, 90.00° and 120.00°. The distinct sites, in fractional coordinates, are Zr at (0.0000, 0.2415, 0.2500), Zr at (0.3333, 0.6667, 0.0000), Co at (0.0000, 0.0000, 0.0000) and Pb at (0.0000, 0.3971, 0.7500).

The value obtained for the energy is -127.22 eV for the cell shown. The magnetic moment comes out at 0.2 μB per formula unit.

***

(3)
Crystalline CoPd at its relaxed geometry, computed with GGA-PBE.

The structure belongs to space group Fm-3m (No. 225); the cell edges are 4.966, 4.966 and 4.966 Å and the angles 90.00°, 90.00° and 90.00°. The distinct sites, in fractional coordinates, are Co at (0.000, 0.000, 0.000) and Pd at (0.000, 0.000, 0.500).

Its formation enthalpy at 0 K is 0.70 eV per atom. The magnetic moment comes out at 2.6 μB per formula unit.

***

(4)
Crystalline CoPd2 at its relaxed geometry, computed with GGA-PBE.

The structure belongs to space group Fd-3m (No. 227, origin choice 2); the cell edges are 10.466, 10.466 and 10.466 Å and the angles 90.00°, 90.00° and 90.00°. The distinct sites, in fractional coordinates, are Co at (0.125, 0.125, 0.125) and Pd at (0.000, 0.000, 0.000).

Its formation enthalpy at 0 K is 1.89 eV per atom. The magnetic moment comes out at 3.0 μB per formula unit.